Record 1
Computed, not measured: Ac4InSiN after structural relaxation at the PBE-GGA level of DFT.

Calculated values
Calculated total energy: -0.194 hartree per atom
Crystal system: orthorhombic
Calculated density: 7.7 Mg/m³

Cell lengths 7.208, 17.580, 7.248 Å; angles 90.00, 90.00, 90.00 degrees
Space group Cmcm (No. 63)
Inequivalent atoms, fractional coordinates:
Ac 0.000 0.061 0.250 x4
Ac 0.000 0.418 0.250 x4
Ac 0.250 0.250 0.000 x8
In 0.000 0.388 0.750 x4
Si 0.000 0.117 0.750 x4
N 0.000 0.275 0.250 x4

=====

Record 2
Computed, not measured: V2Co2Se after structural relaxation at the PBE-GGA level of DFT.

Calculated values
Relative energy among the computed polymorphs: 0.74 eV per formula unit
Crystal system: tetragonal
Calculated density: 6.9 Mg/m³

Cell lengths 3.819, 3.819, 9.918 Å; angles 90.00, 90.00, 90.00 degrees
Space group I4/mmm (No. 139)
Inequivalent atoms, fractional coordinates:
V 0.000 0.500 0.250 x4
Co 0.000 0.000 0.115 x4
Se 0.000 0.000 0.500 x2

=====

Record 3
Computed, not measured: BeSiOs2 after structural relaxation at the PBE-GGA level of DFT.

Calculated values
Calculated total energy: -0.294 hartree per atom
Crystal system: orthorhombic
Calculated density: 13.7 Mg/m³

Cell lengths 2.835, 4.203, 4.253 Å; angles 90.00, 90.00, 90.00 degrees
Space group Pmm2 (No. 25)
Inequivalent atoms, fractional coordinates:
Be 0.000 0.000 0.000 x1
Si 0.500 0.500 0.144 x1
Os 0.000 0.500 0.680 x1
Os 0.500 0.000 0.471 x1

=====

Record 4
Computed, not measured: Th6Re2Pd after structural relaxation at the PBE-GGA level of DFT.

Calculated values
Crystal system: hexagonal
Energy of formation: -58 meV/atom
Calculated density: 13.0 Mg/m³

Cell lengths 8.0110, 8.0110, 4.2872 Å; angles 90.00, 90.00, 120.00 degrees
Space group P-62m (No. 189)
Inequivalent atoms, fractional coordinates:
Th 0.0000 0.4240 0.0000 x3
Th 0.0000 0.7411 0.5000 x3
Re 0.3333 0.6667 0.5000 x2
Pd 0.0000 0.0000 0.0000 x1

=====

Record 5
Computed, not measured: AcLaIn after structural relaxation at the PBE-GGA level of DFT.

Calculated values
Relative energy among the computed polymorphs: 0.13 eV per formula unit
Crystal system: trigonal
Energy of formation: -233 meV/atom
Calculated density: 7.7 Mg/m³

Cell lengths 5.4793, 5.4793, 3.9842 Å; angles 90.00, 90.00, 120.00 degrees
Space group P3m1 (No. 156)
Inequivalent atoms, fractional coordinates:
Ac 0.0000 0.0000 0.0000 x1
La 0.6667 0.3333 0.3969 x1
In 0.3333 0.6667 0.6593 x1

=====

Record 6
Computed, not measured: Nd6Ho2Tm after structural relaxation at the PBE-GGA level of DFT.

Calculated values
Relative energy among the computed polymorphs: 0.42 eV per formula unit
Crystal system: orthorhombic
Energy of formation: 129 meV/atom
Calculated density: 7.4 Mg/m³

Cell lengths 9.417, 17.697, 3.662 Å; angles 90.00, 90.00, 90.00 degrees
Space group Cmmm (No. 65)
Inequivalent atoms, fractional coordinates:
Nd 0.175 0.165 0.000 x8
Nd 0.185 0.000 0.500 x4
Ho 0.000 0.325 0.500 x4
Tm 0.000 0.500 0.000 x2

=====

Record 7
Computed, not measured: Y2MgPd8 after structural relaxation at the PBE-GGA level of DFT.

Calculated values
Crystal system: monoclinic
Energy of formation: -633 meV/atom
Calculated density: 9.1 Mg/m³

Cell lengths 14.621, 4.227, 6.553 Å; angles 90.00, 107.63, 90.00 degrees
Space group C2/m (No. 12)
Inequivalent atoms, fractional coordinates:
Y 0.216 0.000 0.168 x4
Mg 0.000 0.500 0.500 x2
Pd 0.034 0.000 0.224 x4
Pd 0.090 0.500 0.942 x4
Pd 0.141 0.000 0.676 x4
Pd 0.168 0.500 0.402 x4

=====

Record 8
Computed, not measured: Mg2P2O7 after structural relaxation at the PBE-GGA level of DFT.

Calculated values
Relative energy among the computed polymorphs: 0.07 eV per formula unit
Crystal system: monoclinic
Calculated density: 3.0 Mg/m³

Cell lengths 6.547, 8.386, 4.546 Å; angles 90.00, 103.83, 90.00 degrees
Space group C2/m (No. 12)
Inequivalent atoms, fractional coordinates:
Mg 0.000 0.187 0.000 x4
P 0.219 0.500 0.407 x4
O 0.000 0.500 0.500 x2
O 0.119 0.000 0.287 x4
O 0.225 0.348 0.220 x8

=====

Record 9
Computed, not measured: PuAsRh3 after structural relaxation at the PBE-GGA level of DFT.

Calculated values
Relative energy among the computed polymorphs: 0.00 eV per formula unit
Crystal system: tetragonal
Energy of formation: -554 meV/atom
Calculated density: 11.7 Mg/m³

Cell lengths 4.022, 4.022, 10.981 Å; angles 90.00, 90.00, 90.00 degrees
Space group I4mm (No. 107)
Inequivalent atoms, fractional coordinates:
Pu 0.000 0.000 0.000 x2
As 0.000 0.000 0.644 x2
Rh 0.000 0.000 0.430 x2
Rh 0.000 0.500 0.267 x4

=====

Record 10
Computed, not measured: Ta2Hg after structural relaxation at the PBE-GGA level of DFT.

Calculated values
Crystal system: hexagonal
Energy of formation: 415 meV/atom
Calculated density: 16.2 Mg/m³

Cell lengths 8.5443, 8.5443, 2.7287 Å; angles 90.00, 90.00, 120.00 degrees
Space group P-62m (No. 189)
Inequivalent atoms, fractional coordinates:
Ta 0.0000 0.3194 0.0000 x3
Ta 0.0000 0.6541 0.5000 x3
Hg 0.0000 0.0000 0.5000 x1
Hg 0.3333 0.6667 0.0000 x2

=====

Record 11
Computed, not measured: TcAs4Pb after structural relaxation at the PBE-GGA level of DFT.

Calculated values
Crystal system: cubic
Energy of formation: 715 meV/atom
Calculated density: 8.0 Mg/m³

Cell lengths 7.964, 7.964, 7.964 Å; angles 90.00, 90.00, 90.00 degrees
Space group F-43m (No. 216)
Inequivalent atoms, fractional coordinates:
Tc 0.000 0.000 0.000 x4
As 0.127 0.127 0.627 x16
Pb 0.250 0.250 0.250 x4